(1)
First-principles (PBE-GGA) data for a relaxed structure of CuO2, as listed in the Alexandria database.

The density of states at the Fermi level is 0.857 states/eV/atom. The value obtained for the size of the total moment is 15.6 Bohr magnetons per cell. For the uncorrected formation energy, the calculation gives -0.0460 eV per atom. The value obtained for the total energy is -0.1733 hartree per atom. For the volume, the calculation gives 11.687 Å³/atom. Its crystal system is cubic.

It has space group Fd-3m (No. 227, origin choice 2), with a = 8.247 Å, b = 8.247 Å, c = 8.247 Å, α = 90.00°, β = 90.00° and γ = 90.00°. The inequivalent atoms are Cu at (0.000, 0.000, 0.000) and O at (0.016, 0.016, 0.234).

***

(2)
First-principles (PBE-GGA) data for a relaxed structure of Cu5O7, as listed in the Alexandria database.

The density of states at the Fermi level is 0.724 states/eV/atom. The value obtained for the size of the total moment is 2.5 Bohr magnetons per cell. For the uncorrected formation energy, the calculation gives -0.3347 eV per atom. The value obtained for the total energy is -0.1813 hartree per atom. For the volume, the calculation gives 9.651 Å³/atom. The calculation puts the energy above the most stable polymorph in this dataset at 0 meV per atom. Its crystal system is monoclinic.

It has space group C2/m (No. 12), with a = 9.573 Å, b = 2.867 Å, c = 8.969 Å, α = 90.00°, β = 109.77° and γ = 90.00°. The inequivalent atoms are Cu at (0.000, 0.000, 0.000), Cu at (0.108, 0.000, 0.421), Cu at (0.189, 0.500, 0.831), O at (0.000, 0.500, 0.500), O at (0.046, 0.000, 0.792), O at (0.165, 0.500, 0.082) and O at (0.228, 0.500, 0.377).

***

(3)
First-principles (PBE-GGA) data for a relaxed structure of CuO3, as listed in the Alexandria database.

The density of states at the Fermi level is 0.359 states/eV/atom. The value obtained for the size of the total moment is 2.0 Bohr magnetons per cell. For the uncorrected formation energy, the calculation gives 0.5467 eV per atom. The value obtained for the total energy is -0.1542 hartree per atom. For the volume, the calculation gives 10.603 Å³/atom. Its crystal system is monoclinic.

It has space group P2_1/m (No. 11), with a = 5.114 Å, b = 2.924 Å, c = 5.974 Å, α = 90.00°, β = 108.27° and γ = 90.00°. The inequivalent atoms are Cu at (0.249, 0.250, 0.499), O at (0.141, 0.750, 0.669), O at (0.338, 0.250, 0.014) and O at (0.360, 0.750, 0.328).

***

(4)
First-principles (PBE-GGA) data for a relaxed structure of CuO4, as listed in the Alexandria database.

The density of states at the Fermi level is 0.740 states/eV/atom. The value obtained for the size of the total moment is 5.4 Bohr magnetons per cell. For the uncorrected formation energy, the calculation gives 0.9852 eV per atom. The value obtained for the total energy is -0.1397 hartree per atom. For the volume, the calculation gives 11.050 Å³/atom. Its crystal system is cubic.

It has space group Pm-3m (No. 221), with a = 3.809 Å, b = 3.809 Å, c = 3.809 Å, α = 90.00°, β = 90.00° and γ = 90.00°. The inequivalent atoms are Cu at (0.000, 0.000, 0.000), O at (0.000, 0.000, 0.500) and O at (0.500, 0.500, 0.500).

***

(5)
First-principles (PBE-GGA) data for a relaxed structure of Cu5O7, as listed in the Alexandria database.

The density of states at the Fermi level is 0.766 states/eV/atom. The value obtained for the size of the total moment is 8.3 Bohr magnetons per cell. For the uncorrected formation energy, the calculation gives -0.2721 eV per atom. The value obtained for the total energy is -0.1790 hartree per atom. For the volume, the calculation gives 10.667 Å³/atom. The calculation puts the energy above the most stable polymorph in this dataset at 63 meV per atom. Its crystal system is orthorhombic.

It has space group Cmcm (No. 63), with a = 2.924 Å, b = 9.880 Å, c = 17.726 Å, α = 90.00°, β = 90.00° and γ = 90.00°. The inequivalent atoms are Cu at (0.000, 0.000, 0.000), Cu at (0.000, 0.271, 0.076), Cu at (0.000, 0.461, 0.655), O at (0.000, 0.076, 0.602), O at (0.000, 0.166, 0.162), O at (0.000, 0.358, 0.524) and O at (0.000, 0.457, 0.250).

***

(6)
First-principles (PBE-GGA) data for a relaxed structure of Cu6O, as listed in the Alexandria database.

The density of states at the Fermi level is 0.545 states/eV/atom. The value obtained for the size of the total moment is 0.0 Bohr magnetons per cell. For the uncorrected formation energy, the calculation gives 0.6655 eV per atom. The value obtained for the total energy is -0.1306 hartree per atom. For the volume, the calculation gives 22.785 Å³/atom. Its crystal system is orthorhombic.

It has space group Cmmm (No. 65), with a = 4.956 Å, b = 10.401 Å, c = 6.189 Å, α = 90.00°, β = 90.00° and γ = 90.00°. The inequivalent atoms are Cu at (0.000, 0.000, 0.182), Cu at (0.235, 0.361, 0.500) and O at (0.000, 0.000, 0.500).

***

(7)
First-principles (PBE-GGA) data for a relaxed structure of Cu3O4, as listed in the Alexandria database.

The density of states at the Fermi level is 0.675 states/eV/atom. The value obtained for the size of the total moment is 0.0 Bohr magnetons per cell. For the uncorrected formation energy, the calculation gives -0.3917 eV per atom. The value obtained for the total energy is -0.1830 hartree per atom. For the volume, the calculation gives 13.037 Å³/atom. The calculation puts the energy above the most stable polymorph in this dataset at 43 meV per atom. Its crystal system is cubic.

It has space group Fm-3m (No. 225), with a = 9.004 Å, b = 9.004 Å, c = 9.004 Å, α = 90.00°, β = 90.00° and γ = 90.00°. The inequivalent atoms are Cu at (0.000, 0.250, 0.250) and O at (0.143, 0.143, 0.143).

***

(8)
First-principles (PBE-GGA) data for a relaxed structure of Cu4O3, as listed in the Alexandria database.

The density of states at the Fermi level is 0.470 states/eV/atom. The value obtained for the size of the total moment is 0.2 Bohr magnetons per cell. For the uncorrected formation energy, the calculation gives -0.3970 eV per atom. The value obtained for the total energy is -0.1787 hartree per atom. For the volume, the calculation gives 10.961 Å³/atom. The calculation puts the energy above the most stable polymorph in this dataset at 107 meV per atom. Its crystal system is tetragonal.

It has space group P4/nmm (No. 129, origin choice 2), with a = 4.050 Å, b = 4.050 Å, c = 9.355 Å, α = 90.00°, β = 90.00° and γ = 90.00°. The inequivalent atoms are Cu at (0.250, 0.250, 0.209), Cu at (0.250, 0.250, 0.765), Cu at (0.250, 0.750, 0.000), Cu at (0.250, 0.750, 0.500), O at (0.250, 0.250, 0.513) and O at (0.250, 0.750, 0.203).